(1)
The following is a DFT calculation (PBE) of crystalline KSr2Cd at its relaxed geometry.

- E: -5.2 eV for the cell shown
- Magnetic moment: 0.000 μB per atom

Cell and atoms, written as CIF:
```
data_KSr2Cd
_cell_length_a 5.958
_cell_length_b 5.958
_cell_length_c 5.036
_cell_angle_alpha 90.00
_cell_angle_beta 90.00
_cell_angle_gamma 90.00
_space_group_name_H-M_alt 'P 4/m m m'
_space_group_IT_number 123
_space_group_name_Hall '-P 4 2'
loop_
_atom_site_label
_atom_site_type_symbol
_atom_site_fract_x
_atom_site_fract_y
_atom_site_fract_z
_atom_site_occupancy
K1 K 0.000 0.000 0.000 1
Sr1 Sr 0.000 0.500 0.500 1
Cd1 Cd 0.500 0.500 0.000 1
```

***

(2)
The following is a DFT calculation (PBE) of crystalline K2SrCd at its relaxed geometry.

- E: -4.5 eV for the cell shown
- Magnetic moment: 0.000 μB per atom

Cell and atoms, written as CIF:
```
data_K2SrCd
_cell_length_a 4.356
_cell_length_b 4.356
_cell_length_c 10.718
_cell_angle_alpha 90.00
_cell_angle_beta 90.00
_cell_angle_gamma 90.00
_space_group_name_H-M_alt 'P 4/m m m'
_space_group_IT_number 123
_space_group_name_Hall '-P 4 2'
loop_
_atom_site_label
_atom_site_type_symbol
_atom_site_fract_x
_atom_site_fract_y
_atom_site_fract_z
_atom_site_occupancy
K1 K 0.000 0.000 0.197 1
Sr1 Sr 0.500 0.500 0.500 1
Cd1 Cd 0.500 0.500 0.000 1
```

***

(3)
The following is a DFT calculation (PBE) of crystalline KSrCd2 at its relaxed geometry.

- Energy above the lowest structure with this stoichiometry: 0.000 eV per atom
- Magnetic moment: 0.000 μB per atom

Cell and atoms, written as CIF:
```
data_KSrCd2
_cell_length_a 4.706
_cell_length_b 5.079
_cell_length_c 6.790
_cell_angle_alpha 90.00
_cell_angle_beta 110.13
_cell_angle_gamma 90.00
_space_group_name_H-M_alt 'P 1 m 1'
_space_group_IT_number 6
loop_
_space_group_symop_operation_xyz
'x,y,z'
'x,-y,z'
loop_
_atom_site_label
_atom_site_type_symbol
_atom_site_fract_x
_atom_site_fract_y
_atom_site_fract_z
_atom_site_occupancy
K1 K 0.000 0.000 0.000 1
Sr1 Sr 0.707 0.500 0.412 1
Cd1 Cd 0.284 0.000 0.567 1
Cd2 Cd 0.411 0.500 0.821 1
```

***

(4)
The following is a DFT calculation (PBE) of crystalline K2Sr2Cd15 at its relaxed geometry.

- E: -62.8 eV for the cell shown
- Magnetic moment: 0.000 μB per atom

Cell and atoms, written as CIF:
```
data_K2Sr2Cd15
_cell_length_a 10.8335
_cell_length_b 10.8335
_cell_length_c 15.5878
_cell_angle_alpha 90.00
_cell_angle_beta 90.00
_cell_angle_gamma 120.00
_space_group_name_H-M_alt 'R -3 m'
_space_group_IT_number 166
_space_group_name_Hall '-R 3 2"'
loop_
_atom_site_label
_atom_site_type_symbol
_atom_site_fract_x
_atom_site_fract_y
_atom_site_fract_z
_atom_site_occupancy
K1 K 0.0000 0.0000 0.1469 1
Sr1 Sr 0.0000 0.0000 0.3906 1
Cd1 Cd 0.0000 0.2952 0.5000 1
Cd2 Cd 0.0000 0.5000 0.0000 1
Cd3 Cd 0.0113 0.5056 0.6431 1
```

***

(5)
The following is a DFT calculation (PBE) of crystalline KSrCd at its relaxed geometry.

- Energy above the lowest structure with this stoichiometry: 0.171 eV per atom
- Magnetic moment: 0.000 μB per atom

Cell and atoms, written as CIF:
```
data_KSrCd
_cell_length_a 4.3551
_cell_length_b 4.3551
_cell_length_c 8.8273
_cell_angle_alpha 90.00
_cell_angle_beta 90.00
_cell_angle_gamma 120.00
_space_group_name_H-M_alt 'P 3 m 1'
_space_group_IT_number 156
loop_
_space_group_symop_operation_xyz
'x,y,z'
'-y,x-y,z'
'-x+y,-x,z'
'-y,-x,z'
'-x+y,y,z'
'x,x-y,z'
loop_
_atom_site_label
_atom_site_type_symbol
_atom_site_fract_x
_atom_site_fract_y
_atom_site_fract_z
_atom_site_occupancy
K1 K 0.0000 0.0000 0.0000 1
Sr1 Sr 0.6667 0.3333 0.4414 1
Cd1 Cd 0.3333 0.6667 0.6998 1
```

***

(6)
The following is a DFT calculation (PBE) of crystalline K2Sr2Cd at its relaxed geometry.

- Energy above the lowest structure with this stoichiometry: 0.099 eV per atom
- Magnetic moment: 0.000 μB per atom

Cell and atoms, written as CIF:
```
data_K2Sr2Cd
_cell_length_a 8.921
_cell_length_b 8.921
_cell_length_c 6.670
_cell_angle_alpha 90.00
_cell_angle_beta 90.00
_cell_angle_gamma 90.00
_space_group_name_H-M_alt 'P 4/m b m'
_space_group_IT_number 127
_space_group_name_Hall '-P 4 2ab'
loop_
_atom_site_label
_atom_site_type_symbol
_atom_site_fract_x
_atom_site_fract_y
_atom_site_fract_z
_atom_site_occupancy
K1 K 0.144 0.356 0.000 1
Sr1 Sr 0.178 0.678 0.500 1
Cd1 Cd 0.000 0.000 0.000 1
```